The following is a DFT calculation (PBE) of a relaxed structure of LaSc2H.

Energy above the lowest structure with this stoichiometry   21.2 meV per atom
Magnetic moment   0.00 μB/f.u.
D(E_F)   12.360 states/eV per cell

The structure in CIF format:
```
data_LaSc2H
_space_group_name_H-M_alt 'R -3 m'
_space_group_IT_number 166
_space_group_name_Hall '-R 3 2"'
_cell_length_a 3.2780
_cell_length_b 3.2780
_cell_length_c 26.9447
_cell_angle_alpha 90.00
_cell_angle_beta 90.00
_cell_angle_gamma 120.00
loop_
_atom_site_label
_atom_site_fract_x
_atom_site_fract_y
_atom_site_fract_z
La1 0.0000 0.0000 0.0000
Sc1 0.0000 0.0000 0.1216
H1 0.0000 0.0000 0.5000
```

***

The following is a DFT calculation (PBE) of a relaxed structure of Ce2ScHg.

Energy above the lowest structure with this stoichiometry   84.3 meV per atom
DFT formation energy   -22.1 kJ/mol of formula units
Magnetic moment   2.13 μB/f.u.
D(E_F)   10.629 states/eV per cell

The structure in CIF format:
```
data_Ce2ScHg
_space_group_name_H-M_alt 'P 4/m m m'
_space_group_IT_number 123
_space_group_name_Hall '-P 4 2'
_cell_length_a 3.279
_cell_length_b 3.279
_cell_length_c 9.934
_cell_angle_alpha 90.00
_cell_angle_beta 90.00
_cell_angle_gamma 90.00
loop_
_atom_site_label
_atom_site_fract_x
_atom_site_fract_y
_atom_site_fract_z
Ce1 0.000 0.000 0.242
Sc1 0.500 0.500 0.500
Hg1 0.500 0.500 0.000
```

***

The following is a DFT calculation (PBE) of a relaxed structure of PPdS2.

E_form (uncorrected)   163 meV per atom
Magnetic moment   0.00 μB/f.u.
D(E_F)   9.665 states/eV per cell

The structure in CIF format:
```
data_PPdS2
_space_group_name_H-M_alt 'I -4 2 d'
_space_group_IT_number 122
_space_group_name_Hall 'I -4 2bw'
_cell_length_a 5.133
_cell_length_b 5.133
_cell_length_c 11.899
_cell_angle_alpha 90.00
_cell_angle_beta 90.00
_cell_angle_gamma 90.00
loop_
_atom_site_label
_atom_site_fract_x
_atom_site_fract_y
_atom_site_fract_z
P1 0.000 0.000 0.000
Pd1 0.000 0.000 0.500
S1 0.227 0.250 0.125
```

***

The following is a DFT calculation (PBE) of a relaxed structure of Pr5Zn2In.

DFT formation energy   -201.6 kJ/mol of formula units
Magnetic moment   0.00 μB/f.u.
D(E_F)   36.048 states/eV per cell

The structure in CIF format:
```
data_Pr5Zn2In
_space_group_name_H-M_alt 'I 4/m c m'
_space_group_IT_number 140
_space_group_name_Hall '-I 4 2c'
_cell_length_a 8.594
_cell_length_b 8.594
_cell_length_c 12.863
_cell_angle_alpha 90.00
_cell_angle_beta 90.00
_cell_angle_gamma 90.00
loop_
_atom_site_label
_atom_site_fract_x
_atom_site_fract_y
_atom_site_fract_z
Pr1 0.000 0.000 0.000
Pr2 0.153 0.347 0.146
Zn1 0.144 0.356 0.500
In1 0.000 0.000 0.250
```

***

The following is a DFT calculation (PBE) of a relaxed structure of ScCo2Au2.

Energy above the lowest structure with this stoichiometry   0.0 meV per atom
DFT formation energy   -56.6 kJ/mol of formula units
Magnetic moment   3.45 μB/f.u.
D(E_F)   11.809 states/eV per cell

The structure in CIF format:
```
data_ScCo2Au2
_space_group_name_H-M_alt 'I 4/m m m'
_space_group_IT_number 139
_space_group_name_Hall '-I 4 2'
_cell_length_a 3.481
_cell_length_b 3.481
_cell_length_c 13.801
_cell_angle_alpha 90.00
_cell_angle_beta 90.00
_cell_angle_gamma 90.00
loop_
_atom_site_label
_atom_site_fract_x
_atom_site_fract_y
_atom_site_fract_z
Sc1 0.000 0.000 0.000
Co1 0.000 0.500 0.250
Au1 0.000 0.000 0.397
```